Cu2BS: optimized geometry, PBE.

Properties
Offset from the most stable computed form = 0.338 eV/atom
Uncorrected formation energy = 3.25 eV/f.u.

Cell: 4.105 4.105 4.105 Å, 60.00 60.00 60.00°
Element x y z (fractional)
Cu  0.250  0.250  0.250
B  0.000  0.000  0.000
S  0.500  0.500  0.500
Cu  0.750  0.750  0.750